(1)
# YTcN3, relaxed, DFT PBEsol
data_YTcN3
_chemical_formula_sum 'Y2 Tc2 N6'
_cell_length_a 3.9897
_cell_length_b 3.9528
_cell_length_c 7.2623
_cell_angle_alpha 90.00
_cell_angle_beta 90.00
_cell_angle_gamma 90.00
_symmetry_space_group_name_H-M 'A m m 2'
_symmetry_Int_Tables_number 38
_symmetry_space_group_name_Hall 'A 2 -2'
loop_
_atom_site_label
_atom_site_type_symbol
_atom_site_fract_x
_atom_site_fract_y
_atom_site_fract_z
Y1 Y 0.0000 0.0000 0.0000
Tc1 Tc 0.5000 0.0000 0.3075
N1 N 0.0000 0.0000 0.3213
N2 N 0.5000 0.1691 0.5878
# **Calculated volume**: 11.45 Å³ per atom
# **Fermi-level density of states**: 2.0 states/eV/cell
# **ΔE_f (raw)**: -777 meV/atom

(2)
# Cd3ReSe, relaxed, DFT PBEsol
data_Cd3ReSe
_chemical_formula_sum 'Cd3 Re1 Se1'
_cell_length_a 5.0858
_cell_length_b 5.0858
_cell_length_c 5.0858
_cell_angle_alpha 90.00
_cell_angle_beta 90.00
_cell_angle_gamma 90.00
_symmetry_space_group_name_H-M 'P m -3 m'
_symmetry_Int_Tables_number 221
_symmetry_space_group_name_Hall '-P 4 2 3'
loop_
_atom_site_label
_atom_site_type_symbol
_atom_site_fract_x
_atom_site_fract_y
_atom_site_fract_z
Cd1 Cd 0.0000 0.0000 0.5000
Re1 Re 0.5000 0.5000 0.5000
Se1 Se 0.0000 0.0000 0.0000
# **Calculated volume**: 26.31 Å³ per atom
# **Fermi-level density of states**: 4.6 states/eV/cell
# **ΔE_f (raw)**: 1587 meV/atom

(3)
# Zr2WNF, relaxed, DFT PBEsol
data_Zr2WNF
_chemical_formula_sum 'Zr2 W1 N1 F1'
_cell_length_a 5.1532
_cell_length_b 5.1532
_cell_length_c 3.8435
_cell_angle_alpha 90.00
_cell_angle_beta 90.00
_cell_angle_gamma 90.00
_symmetry_space_group_name_H-M 'P 4/m m m'
_symmetry_Int_Tables_number 123
_symmetry_space_group_name_Hall '-P 4 2'
loop_
_atom_site_label
_atom_site_type_symbol
_atom_site_fract_x
_atom_site_fract_y
_atom_site_fract_z
Zr1 Zr 0.0000 0.5000 0.0000
W1 W 0.0000 0.0000 0.0000
N1 N 0.0000 0.0000 0.5000
F1 F 0.5000 0.5000 0.5000
# **Calculated volume**: 20.41 Å³ per atom
# **Fermi-level density of states**: 4.9 states/eV/cell
# **ΔE_f (raw)**: 436 meV/atom

(4)
# Ca2SnS4, relaxed, DFT PBEsol
data_Ca2SnS4
_chemical_formula_sum 'Ca8 Sn4 S16'
_cell_length_a 9.6256
_cell_length_b 9.9233
_cell_length_c 6.9200
_cell_angle_alpha 90.00
_cell_angle_beta 90.00
_cell_angle_gamma 90.00
_symmetry_space_group_name_H-M 'A m a 2'
_symmetry_Int_Tables_number 40
_symmetry_space_group_name_Hall 'A 2 -2a'
loop_
_atom_site_label
_atom_site_type_symbol
_atom_site_fract_x
_atom_site_fract_y
_atom_site_fract_z
Ca1 Ca 0.0000 0.0000 0.0000
Ca2 Ca 0.2500 0.1935 0.4627
Sn1 Sn 0.2500 0.2775 0.9752
S1 S 0.0505 0.2666 0.1811
S2 S 0.2500 0.0621 0.8064
S3 S 0.2500 0.4451 0.7286
# **Offset from the most stable computed form**: 5.8 kJ/mol of atoms
# **Calculated volume**: 23.61 Å³ per atom
# **Fermi-level density of states**: 0.0 states/eV/cell
# **ΔE_f (raw)**: -1361 meV/atom

(5)
# NiBP2Cl, relaxed, DFT PBEsol
data_NiBP2Cl
_chemical_formula_sum 'Ni1 B1 P2 Cl1'
_cell_length_a 3.9848
_cell_length_b 3.9848
_cell_length_c 4.2814
_cell_angle_alpha 90.00
_cell_angle_beta 90.00
_cell_angle_gamma 90.00
_symmetry_space_group_name_H-M 'P 4/m m m'
_symmetry_Int_Tables_number 123
_symmetry_space_group_name_Hall '-P 4 2'
loop_
_atom_site_label
_atom_site_type_symbol
_atom_site_fract_x
_atom_site_fract_y
_atom_site_fract_z
Ni1 Ni 0.0000 0.0000 0.0000
B1 B 0.5000 0.5000 0.5000
P1 P 0.0000 0.5000 0.5000
Cl1 Cl 0.5000 0.5000 0.0000
# **Calculated volume**: 13.60 Å³ per atom
# **Fermi-level density of states**: 3.1 states/eV/cell
# **ΔE_f (raw)**: 916 meV/atom

(6)
# LiMnPO4, relaxed, DFT PBEsol
data_LiMnPO4
_chemical_formula_sum 'Li6 Mn6 P6 O24'
_cell_length_a 4.9530
_cell_length_b 4.9530
_cell_length_c 23.4199
_cell_angle_alpha 90.00
_cell_angle_beta 90.00
_cell_angle_gamma 120.00
_symmetry_space_group_name_H-M 'R -3'
_symmetry_Int_Tables_number 148
_symmetry_space_group_name_Hall '-R 3'
loop_
_atom_site_label
_atom_site_type_symbol
_atom_site_fract_x
_atom_site_fract_y
_atom_site_fract_z
Li1 Li 0.0000 0.0000 0.1478
Mn1 Mn 0.0000 0.0000 0.2749
P1 P 0.0000 0.0000 0.4234
O1 O 0.0000 0.0000 0.3577
O2 O 0.0224 0.7139 0.4442
# **Offset from the most stable computed form**: 4.3 kJ/mol of atoms
# **Calculated volume**: 11.85 Å³ per atom
# **Fermi-level density of states**: 0.0 states/eV/cell
# **ΔE_f (raw)**: -2028 meV/atom

(7)
# LiNiP3O9, relaxed, DFT PBEsol
data_LiNiP3O9
_chemical_formula_sum 'Li2 Ni2 P6 O18'
_cell_length_a 6.3336
_cell_length_b 6.3336
_cell_length_c 9.4993
_cell_angle_alpha 90.00
_cell_angle_beta 90.00
_cell_angle_gamma 120.00
_symmetry_space_group_name_H-M 'P -6 c 2'
_symmetry_Int_Tables_number 188
_symmetry_space_group_name_Hall 'P -6c 2'
loop_
_atom_site_label
_atom_site_type_symbol
_atom_site_fract_x
_atom_site_fract_y
_atom_site_fract_z
Li1 Li 0.0000 0.0000 0.0000
Ni1 Ni 0.3333 0.6667 0.0000
P1 P 0.4168 0.0482 0.2500
O1 O 0.0738 0.3757 0.1131
O2 O 0.4251 0.1217 0.7500
# **Offset from the most stable computed form**: 6.4 kJ/mol of atoms
# **Calculated volume**: 11.79 Å³ per atom
# **ΔE_f (raw)**: -1932 meV/atom

(8)
# CaScGe3, relaxed, DFT PBEsol
data_CaScGe3
_chemical_formula_sum 'Ca1 Sc1 Ge3'
_cell_length_a 5.0120
_cell_length_b 5.0120
_cell_length_c 5.0120
_cell_angle_alpha 90.00
_cell_angle_beta 90.00
_cell_angle_gamma 90.00
_symmetry_space_group_name_H-M 'P m -3 m'
_symmetry_Int_Tables_number 221
_symmetry_space_group_name_Hall '-P 4 2 3'
loop_
_atom_site_label
_atom_site_type_symbol
_atom_site_fract_x
_atom_site_fract_y
_atom_site_fract_z
Ca1 Ca 0.0000 0.0000 0.0000
Sc1 Sc 0.5000 0.5000 0.5000
Ge1 Ge 0.0000 0.5000 0.5000
# **Formation energy**: -0.057 eV/atom
# **Calculated volume**: 25.18 Å³ per atom
# **Fermi-level density of states**: 2.6 states/eV/cell

Please write out number 1 again, unchanged.
# YTcN3, relaxed, DFT PBEsol
data_YTcN3
_chemical_formula_sum 'Y2 Tc2 N6'
_cell_length_a 3.9897
_cell_length_b 3.9528
_cell_length_c 7.2623
_cell_angle_alpha 90.00
_cell_angle_beta 90.00
_cell_angle_gamma 90.00
_symmetry_space_group_name_H-M 'A m m 2'
_symmetry_Int_Tables_number 38
_symmetry_space_group_name_Hall 'A 2 -2'
loop_
_atom_site_label
_atom_site_type_symbol
_atom_site_fract_x
_atom_site_fract_y
_atom_site_fract_z
Y1 Y 0.0000 0.0000 0.0000
Tc1 Tc 0.5000 0.0000 0.3075
N1 N 0.0000 0.0000 0.3213
N2 N 0.5000 0.1691 0.5878
# **Calculated volume**: 11.45 Å³ per atom
# **Fermi-level density of states**: 2.0 states/eV/cell
# **ΔE_f (raw)**: -777 meV/atom

What is the formula in the eighth record?
CaScGe3

The lowest calculated volume belongs to which entry?
YTcN3